Compound: BaMnAu2F
Source: Alexandria via LeMat-Bulk
Functional: PBE with a Hubbard U
Structure: optimized geometry

Summary:
Space-group type: P4/mmm (123)
ΔE to the lowest computed polymorph: 0 meV/atom
D(E_F): 2.00 states/eV/f.u.

Unit cell a=5.4221 b=5.4221 c=4.2763 alpha=90.00 beta=90.00 gamma=90.00
Fractional positions:
Ba  0.0000  0.0000  0.0000
Mn  0.5000  0.5000  0.5000
Au  0.0000  0.5000  0.5000
Au  0.5000  0.0000  0.5000
F  0.5000  0.5000  0.0000